# TbNd2Al | Alexandria | PBE | optimized geometry
data_TbNd2Al
_symmetry_space_group_name_H-M 'P 1'
_symmetry_Int_Tables_number 1
_cell_length_a 5.361
_cell_length_b 7.051
_cell_length_c 7.051
_cell_angle_alpha 120.20
_cell_angle_beta 90.00
_cell_angle_gamma 90.00
loop_
_symmetry_equiv_pos_as_xyz
'x,y,z'
loop_
_atom_site_label
_atom_site_type_symbol
_atom_site_fract_x
_atom_site_fract_y
_atom_site_fract_z
Tb1 Tb 0.500 0.646 0.822
Tb2 Tb 0.500 0.178 0.354
Nd1 Nd 0.500 0.177 0.823
Nd2 Nd 0.000 0.355 0.180
Nd3 Nd 0.000 0.820 0.645
Nd4 Nd 0.000 0.822 0.178
Al1 Al 0.500 0.665 0.335
Al2 Al 0.000 0.337 0.663
# ΔH_f (0 K): -69 kJ/mol of formula units
# Total DFT energy (no corrections): -4.657 eV per atom

***

# TbNdAl6 | Alexandria | PBE | optimized geometry
data_TbNdAl6
_symmetry_space_group_name_H-M 'P 1'
_symmetry_Int_Tables_number 1
_cell_length_a 4.655
_cell_length_b 6.383
_cell_length_c 6.383
_cell_angle_alpha 119.97
_cell_angle_beta 90.00
_cell_angle_gamma 90.00
loop_
_symmetry_equiv_pos_as_xyz
'x,y,z'
loop_
_atom_site_label
_atom_site_type_symbol
_atom_site_fract_x
_atom_site_fract_y
_atom_site_fract_z
Tb1 Tb 0.000 0.083 0.917
Nd1 Nd 0.500 0.416 0.584
Al1 Al 0.000 0.035 0.392
Al2 Al 0.000 0.608 0.965
Al3 Al 0.000 0.608 0.392
Al4 Al 0.500 0.461 0.106
Al5 Al 0.500 0.894 0.539
Al6 Al 0.500 0.895 0.105
# ΔH_f (0 K): -338 kJ/mol of formula units
# Total DFT energy (no corrections): -4.420 eV per atom

***

# Tb15Nd4Al | Alexandria | PBE | optimized geometry
data_Tb15Nd4Al
_symmetry_space_group_name_H-M 'P 1'
_symmetry_Int_Tables_number 1
_cell_length_a 5.001
_cell_length_b 5.001
_cell_length_c 25.302
_cell_angle_alpha 90.00
_cell_angle_beta 90.00
_cell_angle_gamma 90.00
loop_
_symmetry_equiv_pos_as_xyz
'x,y,z'
loop_
_atom_site_label
_atom_site_type_symbol
_atom_site_fract_x
_atom_site_fract_y
_atom_site_fract_z
Tb1 Tb 0.500 0.500 0.000
Tb2 Tb 0.500 0.500 0.193
Tb3 Tb 0.500 0.500 0.398
Tb4 Tb 0.500 0.500 0.602
Tb5 Tb 0.500 0.500 0.807
Tb6 Tb 0.500 0.000 0.092
Tb7 Tb 0.500 0.000 0.296
Tb8 Tb 0.500 0.000 0.500
Tb9 Tb 0.500 0.000 0.704
Tb10 Tb 0.500 0.000 0.908
Tb11 Tb 0.000 0.500 0.092
Tb12 Tb 0.000 0.500 0.296
Tb13 Tb 0.000 0.500 0.500
Tb14 Tb 0.000 0.500 0.704
Tb15 Tb 0.000 0.500 0.908
Nd1 Nd 0.000 0.000 0.195
Nd2 Nd 0.000 0.000 0.398
Nd3 Nd 0.000 0.000 0.602
Nd4 Nd 0.000 0.000 0.805
Al1 Al 0.000 0.000 0.000
# ΔH_f (0 K): -17 kJ/mol of formula units
# Total DFT energy (no corrections): -4.622 eV per atom